Model i:
Computed, not measured: an optimized crystal structure of Tl2As2Pt at the PBE level of DFT.

Cell and atoms, written as POSCAR:
```
Tl2As2Pt
1.0
3.636 0.000 0.000
0.000 3.636 0.000
1.818 1.818 9.083
Tl As Pt
2 2 1
Direct
0.411 0.411 0.178
0.589 0.589 0.822
0.750 0.250 0.500
0.250 0.750 0.500
0.000 0.000 0.000
```

Model ii:
Computed, not measured: an optimized crystal structure of Tl2As2Pt at the PBE level of DFT.

Cell and atoms, written as POSCAR:
```
Tl2As2Pt
1.0
6.372 0.000 0.000
0.000 6.372 0.000
0.000 0.000 6.035
Tl As Pt
4 4 2
Direct
0.183 0.683 0.500
0.683 0.817 0.500
0.817 0.317 0.500
0.317 0.183 0.500
0.364 0.864 0.000
0.864 0.636 0.000
0.636 0.136 0.000
0.136 0.364 0.000
0.000 0.000 0.000
0.500 0.500 0.000
```

Model iii:
Computed, not measured: an optimized crystal structure of Tl2As2Pt at the PBE level of DFT.

Cell and atoms, written as POSCAR:
```
Tl2As2Pt
1.0
-6.515 -1.083 3.490
3.614 -2.973 5.822
0.365 4.535 2.089
Tl As Pt
4 4 2
Direct
0.302 0.802 0.000
0.802 0.698 0.000
0.698 0.198 0.000
0.198 0.302 0.000
0.107 0.607 0.500
0.607 0.893 0.500
0.893 0.393 0.500
0.393 0.107 0.500
0.000 0.000 0.000
0.500 0.500 0.000
```

Of them, model iii has the lowest stability.

Model i:
Computed, not measured: an optimized crystal structure of TlAs2Pt at the PBE level of DFT.

Cell and atoms, written as POSCAR:
```
TlAs2Pt
1.0
4.480 -0.280 -0.110
2.894 3.431 -0.110
1.757 0.751 6.021
Tl As Pt
1 2 1
Direct
0.204 0.204 0.263
0.965 0.965 0.933
0.825 0.825 0.624
0.506 0.506 0.680
```

Model ii:
Computed, not measured: an optimized crystal structure of TlAs2Pt at the PBE level of DFT.

Cell and atoms, written as POSCAR:
```
TlAs2Pt
1.0
-1.314 -3.701 -4.269
1.499 -2.948 -4.766
1.736 -5.692 1.203
Tl As Pt
1 2 1
Direct
0.250 0.250 0.250
0.046 0.046 0.898
0.454 0.454 0.602
0.750 0.750 0.750
```

Model iii:
Computed, not measured: an optimized crystal structure of TlAs2Pt at the PBE level of DFT.

Cell and atoms, written as POSCAR:
```
TlAs2Pt
1.0
6.047 0.016 -0.013
2.602 5.458 0.013
-3.367 -4.249 2.678
Tl As Pt
1 2 1
Direct
0.250 0.750 0.500
0.950 0.950 0.000
0.550 0.550 0.000
0.750 0.250 0.500
```

Model iv:
Computed, not measured: an optimized crystal structure of TlAs2Pt at the PBE level of DFT.

Cell and atoms, written as POSCAR:
```
TlAs2Pt
1.0
3.119 0.012 0.000
-0.012 3.119 0.000
0.000 0.000 8.918
Tl As Pt
1 2 1
Direct
0.500 0.500 0.750
0.000 0.000 0.068
0.000 0.000 0.432
0.500 0.500 0.250
```

Of them, model iii has the lowest stability.

Model i:
Computed, not measured: an optimized crystal structure of TlAs2Pt at the PBE level of DFT.

Cell and atoms, written as POSCAR:
```
TlAs2Pt
1.0
3.431 0.000 0.000
0.000 3.431 0.000
0.000 0.000 7.311
Tl As Pt
1 2 1
Direct
0.500 0.500 0.731
0.000 0.000 0.061
0.500 0.500 0.284
0.000 0.000 0.425
```

Model ii:
Computed, not measured: an optimized crystal structure of TlAs2Pt at the PBE level of DFT.

Cell and atoms, written as POSCAR:
```
TlAs2Pt
1.0
-1.315 -2.986 2.153
-0.836 -2.381 -3.814
4.548 -2.810 -1.121
Tl As Pt
1 2 1
Direct
0.500 0.750 0.750
0.000 0.006 0.097
0.000 0.494 0.403
0.500 0.250 0.250
```

Of them, model i has the lowest stability.

Model i:
Computed, not measured: an optimized crystal structure of TlAs2Pt at the PBE level of DFT.

Cell and atoms, written as POSCAR:
```
TlAs2Pt
1.0
-2.498 0.351 5.576
-3.183 -5.109 -1.105
1.619 -5.634 4.438
Tl As Pt
2 4 2
Direct
0.000 0.000 0.000
0.750 0.250 0.500
0.561 0.125 0.250
0.189 0.625 0.250
0.375 0.439 0.750
0.875 0.811 0.750
0.500 0.500 0.000
0.250 0.750 0.500
```

Model ii:
Computed, not measured: an optimized crystal structure of TlAs2Pt at the PBE level of DFT.

Cell and atoms, written as POSCAR:
```
TlAs2Pt
1.0
0.000 3.412 3.412
3.412 0.000 3.412
3.412 3.412 0.000
Tl As Pt
1 2 1
Direct
0.500 0.500 0.500
0.250 0.250 0.250
0.750 0.750 0.750
0.000 0.000 0.000
```

Model iii:
Computed, not measured: an optimized crystal structure of TlAs2Pt at the PBE level of DFT.

Cell and atoms, written as POSCAR:
```
TlAs2Pt
1.0
-7.114 1.245 0.305
-6.704 -2.394 1.253
-6.121 0.310 3.833
Tl As Pt
1 2 1
Direct
0.755 0.755 0.755
0.987 0.987 0.987
0.246 0.246 0.246
0.512 0.512 0.512
```

Model iv:
Computed, not measured: an optimized crystal structure of TlAs2Pt at the PBE level of DFT.

Cell and atoms, written as POSCAR:
```
TlAs2Pt
1.0
-1.509 1.142 4.766
-4.335 -2.638 -0.741
1.359 -2.524 1.035
Tl As Pt
1 2 1
Direct
0.000 0.500 0.500
0.000 0.000 0.000
0.500 0.500 0.000
0.500 0.000 0.500
```

Of them, model iv has the lowest stability.

Model i:
Computed, not measured: an optimized crystal structure of TlAs2Pt at the PBE level of DFT.

Cell and atoms, written as POSCAR:
```
TlAs2Pt
1.0
4.119 0.000 0.000
0.000 4.125 0.000
0.000 0.000 4.737
Tl As Pt
1 2 1
Direct
0.000 0.500 0.500
0.000 0.000 0.000
0.500 0.500 0.000
0.500 0.000 0.500
```

Model ii:
Computed, not measured: an optimized crystal structure of TlAs2Pt at the PBE level of DFT.

Cell and atoms, written as POSCAR:
```
TlAs2Pt
1.0
-1.896 -2.092 -5.027
-3.766 -0.686 4.849
-2.398 1.761 0.096
Tl As Pt
1 2 1
Direct
0.500 0.000 0.500
0.000 0.000 0.000
0.000 0.500 0.500
0.500 0.500 0.000
```

Model iii:
Computed, not measured: an optimized crystal structure of TlAs2Pt at the PBE level of DFT.

Cell and atoms, written as POSCAR:
```
TlAs2Pt
1.0
-2.429 -5.704 3.561
-0.061 -7.083 -0.970
3.598 6.177 -0.101
Tl As Pt
1 2 1
Direct
0.309 0.809 0.500
0.001 0.001 0.000
0.657 0.157 0.500
0.533 0.533 0.000
```

Model iv:
Computed, not measured: an optimized crystal structure of TlAs2Pt at the PBE level of DFT.

Cell and atoms, written as POSCAR:
```
TlAs2Pt
1.0
-3.492 3.028 -1.093
0.909 -2.737 -3.773
-2.601 -2.557 1.228
Tl As Pt
1 2 1
Direct
0.000 0.500 0.500
0.000 0.000 0.000
0.500 0.500 0.000
0.500 0.000 0.500
```

Of them, model ii has the lowest stability.

Model i:
Computed, not measured: an optimized crystal structure of TlAsPt3 at the PBE level of DFT.

Cell and atoms, written as POSCAR:
```
TlAsPt3
1.0
-0.781 6.006 -4.589
-4.960 1.211 2.431
4.777 2.206 2.071
Tl As Pt
2 2 6
Direct
0.750 0.666 0.334
0.250 0.334 0.666
0.000 0.000 0.000
0.500 0.000 0.000
0.750 0.651 0.826
0.250 0.826 0.651
0.250 0.349 0.174
0.750 0.174 0.349
0.250 0.826 0.174
0.750 0.174 0.826
```

Model ii:
Computed, not measured: an optimized crystal structure of TlAsPt3 at the PBE level of DFT.

Cell and atoms, written as POSCAR:
```
TlAsPt3
1.0
-0.155 3.850 -3.208
-4.883 0.608 0.965
1.130 3.154 3.731
Tl As Pt
1 1 3
Direct
0.000 0.000 0.000
0.500 0.500 0.500
0.000 0.500 0.000
0.000 0.000 0.500
0.500 0.000 0.000
```

Model iii:
Computed, not measured: an optimized crystal structure of TlAsPt3 at the PBE level of DFT.

Cell and atoms, written as POSCAR:
```
TlAsPt3
1.0
-3.222 3.463 -0.546
-1.170 -1.761 -4.266
-3.305 -2.753 2.043
Tl As Pt
1 1 3
Direct
0.500 0.500 0.500
0.000 0.000 0.000
0.000 0.500 0.000
0.000 0.000 0.500
0.500 0.000 0.000
```

Of them, model ii has the lowest stability.

Model i:
Computed, not measured: an optimized crystal structure of TlAsPt4 at the PBE level of DFT.

Cell and atoms, written as POSCAR:
```
TlAsPt4
1.0
0.000 3.807 3.807
3.807 0.000 3.807
3.807 3.807 0.000
Tl As Pt
1 1 4
Direct
0.750 0.750 0.750
0.000 0.000 0.000
0.876 0.375 0.375
0.375 0.375 0.876
0.375 0.876 0.375
0.375 0.375 0.375
```

Model ii:
Computed, not measured: an optimized crystal structure of TlAsPt4 at the PBE level of DFT.

Cell and atoms, written as POSCAR:
```
TlAsPt4
1.0
-0.924 5.526 3.019
-5.144 0.000 -1.575
-0.922 -5.927 3.858
Tl As Pt
2 2 8
Direct
0.856 0.750 0.000
0.144 0.250 0.000
0.500 0.000 0.500
0.000 0.500 0.500
0.448 0.119 0.809
0.639 0.381 0.191
0.552 0.881 0.191
0.361 0.619 0.809
0.926 0.900 0.642
0.284 0.600 0.358
0.074 0.100 0.358
0.716 0.400 0.642
```

Of them, model i has the lowest stability.

Model i:
Computed, not measured: an optimized crystal structure of Tl3AsPt at the PBE level of DFT.

Cell and atoms, written as POSCAR:
```
Tl3AsPt
1.0
-4.302 2.025 2.402
-2.068 -4.892 0.422
2.366 -0.592 4.736
Tl As Pt
3 1 1
Direct
0.000 0.500 0.000
0.000 0.000 0.500
0.500 0.000 0.000
0.500 0.500 0.500
0.000 0.000 0.000
```

Model ii:
Computed, not measured: an optimized crystal structure of Tl3AsPt at the PBE level of DFT.

Cell and atoms, written as POSCAR:
```
Tl3AsPt
1.0
-5.351 0.266 -0.928
-0.893 -3.351 4.188
-0.367 4.273 3.342
Tl As Pt
3 1 1
Direct
0.000 0.500 0.000
0.000 0.000 0.500
0.500 0.000 0.000
0.000 0.000 0.000
0.500 0.500 0.500
```

Of them, model ii has the lowest stability.

Model i:
Computed, not measured: an optimized crystal structure of UAs2Pt at the PBE level of DFT.

Cell and atoms, written as POSCAR:
```
UAs2Pt
1.0
2.981 0.000 0.000
1.490 2.581 0.000
1.490 0.860 9.690
As U Pt
2 1 1
Direct
0.083 0.083 0.750
0.917 0.917 0.250
0.500 0.500 0.500
0.000 0.000 0.000
```

Model ii:
Computed, not measured: an optimized crystal structure of UAs2Pt at the PBE level of DFT.

Cell and atoms, written as POSCAR:
```
UAs2Pt
1.0
3.774 0.000 0.000
0.000 4.412 0.000
0.000 0.000 4.412
As U Pt
2 1 1
Direct
0.000 0.000 0.500
0.000 0.500 0.000
0.500 0.500 0.500
0.500 0.000 0.000
```

Of them, model i has the lowest stability.

Model i:
Computed, not measured: an optimized crystal structure of AsPtW3 at the PBE level of DFT.

Cell and atoms, written as POSCAR:
```
AsPtW3
1.0
-4.527 -0.355 0.331
0.164 -4.043 -2.087
0.456 -2.063 4.033
As W Pt
1 3 1
Direct
0.000 0.000 0.000
0.000 0.500 0.000
0.000 0.000 0.500
0.500 0.000 0.000
0.500 0.500 0.500
```

Model ii:
Computed, not measured: an optimized crystal structure of AsPtW3 at the PBE level of DFT.

Cell and atoms, written as POSCAR:
```
AsPtW3
1.0
-1.632 -1.277 4.331
0.891 -4.606 -1.022
4.427 0.456 1.803
As W Pt
1 3 1
Direct
0.500 0.500 0.500
0.000 0.500 0.000
0.000 0.000 0.500
0.500 0.000 0.000
0.000 0.000 0.000
```

Of them, model ii has the lowest stability.